CaLaY2F | PBE | relaxed

Calculated values
formation energy from raw total energies: 0.599 eV/atom

The structure in extended XYZ format:
```
5
Lattice="5.666 0.000 0.000 0.000 5.666 0.000 0.000 0.000 6.235" Properties=species:S:1:pos:R:3 pbc="T T T"
Y 0.000 2.833 0.000
Y 2.833 0.000 0.000
Ca 0.000 0.000 3.117
F 2.833 2.833 3.117
La 0.000 0.000 0.000
```



Ta2AgRh | PBE | relaxed

Calculated values
energy of formation from the pure elements: -0.02 eV/atom

The structure in extended XYZ format:
```
4
Lattice="-0.353 3.486 -1.962 -0.440 -1.991 -3.459 -4.091 -0.091 0.573" Properties=species:S:1:pos:R:3 pbc="T T T"
Ta -0.220 -0.996 -1.730
Ta -0.176 1.743 -0.981
Ag -2.442 0.702 -2.424
Rh -2.045 -0.046 0.287
```